Entry 1:
DFT (PBEsol) results for a relaxed structure of Sr2Si.

a b c (Å): 3.742 3.742 30.555
angles (deg): 90.00 90.00 90.00
Space group I4_1/amd (No. 141, origin choice 2)
Inequivalent atoms, fractional coordinates:
Sr1 0.000 0.250 0.316 x8
Si1 0.000 0.250 0.875 x4

***

Entry 2:
DFT (PBEsol) results for a relaxed structure of SrSi2.

a b c (Å): 4.388 4.388 13.735
angles (deg): 90.00 90.00 90.00
Space group I4_1/amd (No. 141, origin choice 2)
Inequivalent atoms, fractional coordinates:
Sr1 0.000 0.250 0.375 x4
Si1 0.000 0.250 0.790 x8

***

Entry 3:
DFT (PBEsol) results for a relaxed structure of SrSi2.

a b c (Å): 3.771 7.199 6.008
angles (deg): 90.00 90.00 90.00
Space group Pnnm (No. 58)
Inequivalent atoms, fractional coordinates:
Sr1 0.000 0.000 0.000 x2
Si1 0.249 0.094 0.500 x4

***

Number 1: raw formation energy -0.17 eV per atom. Number 2: raw formation energy -0.43 eV per atom. Number 3: raw formation energy 0.05 eV per atom.